Compound: Cs3HgMo2O8
Source: Alexandria
Functional: GGA+U
Structure: relaxed

Calculated values
- Final energy: -5.658 eV/atom
- Total moment: 1.0 μB per cell

```
Cs3HgMo2O8
1.0
6.588 0.000 0.000
-3.294 5.706 0.000
0.000 0.000 8.524
Mo O Cs Hg
2 8 3 1
Direct
0.333 0.667 0.218
0.667 0.333 0.782
0.816 0.631 0.709
0.184 0.369 0.291
0.631 0.816 0.291
0.333 0.667 0.009
0.816 0.184 0.709
0.369 0.184 0.709
0.667 0.333 0.991
0.184 0.816 0.291
0.667 0.333 0.334
0.333 0.667 0.666
0.000 0.000 0.000
0.000 0.000 0.500
```